Entry 1:
The following is a DFT calculation (PBE) of a geometry-optimized Na3B2O4 structure.

```
Na3B2O4
1.0
5.120 -1.279 0.000
5.120 1.279 0.000
-2.519 0.000 9.246
Na B O
3 2 4
Direct
0.000 0.000 0.000
0.097 0.097 0.337
0.903 0.903 0.663
0.316 0.316 0.180
0.684 0.684 0.820
0.259 0.259 0.818
0.442 0.442 0.173
0.558 0.558 0.827
0.741 0.741 0.182
```

- Crystal system: monoclinic
- DOS at the Fermi energy: 0.76 states/eV/cell
- E_form (uncorrected): -1.755 eV/atom

=====

Entry 2:
The following is a DFT calculation (PBE) of a geometry-optimized AlNi2Au structure.

```
AlNi2Au
1.0
4.282 0.000 0.000
0.000 5.411 0.000
0.000 0.000 4.576
Al Ni Au
2 4 2
Direct
0.250 0.250 0.196
0.750 0.750 0.804
0.250 0.002 0.666
0.250 0.498 0.666
0.750 0.502 0.334
0.750 0.998 0.334
0.250 0.750 0.171
0.750 0.250 0.829
```

- Crystal system: orthorhombic
- DFT total energy: -39.82 eV/cell
- DOS at the Fermi energy: 3.17 states/eV/cell

=====

Copy entry 1 word for word.
The following is a DFT calculation (PBE) of a geometry-optimized Na3B2O4 structure.

```
Na3B2O4
1.0
5.120 -1.279 0.000
5.120 1.279 0.000
-2.519 0.000 9.246
Na B O
3 2 4
Direct
0.000 0.000 0.000
0.097 0.097 0.337
0.903 0.903 0.663
0.316 0.316 0.180
0.684 0.684 0.820
0.259 0.259 0.818
0.442 0.442 0.173
0.558 0.558 0.827
0.741 0.741 0.182
```

- Crystal system: monoclinic
- DOS at the Fermi energy: 0.76 states/eV/cell
- E_form (uncorrected): -1.755 eV/atom

=====

- Look up the DOS at the Fermi energy of the first one.
  0.76 states/eV/cell

=====

- The highest DOS at the Fermi energy belongs to which entry?
  AlNi2Au

=====

- Among the records above, which one has the highest DOS at the Fermi energy?
  AlNi2Au